1.
YFeRe2 | PBE | relaxed

Computed properties:
The size of the total moment is 2.279 μB per formula unit. The crystal system is monoclinic. For the relative energy among the computed polymorphs, the calculation gives 0.1567 eV per atom. The formation energy is 1.34 eV/f.u. Its density of states at the Fermi level is 4.19 states/eV/f.u.

a b c (Å): 2.880 4.258 5.832
angles (deg): 90.00 103.35 90.00
Space group Pm (No. 6)
Symmetry-distinct sites (fractional):
Y 0.000 0.000 0.000 (multiplicity 1)
Fe 0.717 0.500 0.285 (multiplicity 1)
Re 0.254 0.500 0.682 (multiplicity 1)
Re 0.505 0.000 0.505 (multiplicity 1)

2.
Cs2K2Cd | PBE | relaxed

Computed properties:
The size of the total moment is 0.000 μB per formula unit. The crystal system is tetragonal. For the relative energy among the computed polymorphs, the calculation gives 0.1177 eV per atom. The formation energy is 0.51 eV/f.u. Its density of states at the Fermi level is 4.66 states/eV/f.u.

a b c (Å): 10.241 10.241 7.652
angles (deg): 90.00 90.00 90.00
Space group P4/mbm (No. 127)
Symmetry-distinct sites (fractional):
Cs 0.159 0.341 0.000 (multiplicity 4)
K 0.169 0.669 0.500 (multiplicity 4)
Cd 0.000 0.000 0.000 (multiplicity 2)

3.
Ta6NbPt2 | PBE | relaxed

Computed properties:
The size of the total moment is 0.000 μB per formula unit. The crystal system is triclinic. The formation energy is -1.45 eV/f.u. Its density of states at the Fermi level is 7.57 states/eV/f.u.

a b c (Å): 5.172 5.247 6.576
angles (deg): 76.46 71.09 87.48
Space group P-1 (No. 2)
Symmetry-distinct sites (fractional):
Ta 0.093 0.068 0.280 (multiplicity 2)
Ta 0.235 0.506 0.521 (multiplicity 2)
Ta 0.243 0.640 0.994 (multiplicity 2)
Nb 0.500 0.000 0.500 (multiplicity 1)
Pt 0.360 0.177 0.863 (multiplicity 2)